No. 1
Compound: CdSn2Hg2
Source: the Alexandria database
Functional: PBE-GGA
Structure: relaxed

## Properties
Energy relative to the lowest polymorph listed for this composition, meV/atom: 85

Cell and atoms, written as CIF:
```
data_CdSn2Hg2
_cell_length_a 4.296
_cell_length_b 4.296
_cell_length_c 15.469
_cell_angle_alpha 90.00
_cell_angle_beta 90.00
_cell_angle_gamma 90.00
_symmetry_space_group_name_H-M 'I 4/m m m'
_symmetry_Int_Tables_number 139
_symmetry_space_group_name_Hall '-I 4 2'
loop_
_atom_site_label
_atom_site_type_symbol
_atom_site_fract_x
_atom_site_fract_y
_atom_site_fract_z
Cd1 Cd 0.000 0.000 0.000
Sn1 Sn 0.000 0.500 0.250
Hg1 Hg 0.000 0.000 0.407
```


No. 2
Compound: Mg2AsOs
Source: the Alexandria database
Functional: PBE-GGA
Structure: relaxed

## Properties
VASP energy, eV per cell: -36.0

Cell and atoms, written as CIF:
```
data_Mg2AsOs
_cell_length_a 3.152
_cell_length_b 5.111
_cell_length_c 9.090
_cell_angle_alpha 90.00
_cell_angle_beta 90.00
_cell_angle_gamma 90.00
_symmetry_space_group_name_H-M 'C m m 2'
_symmetry_Int_Tables_number 35
loop_
_symmetry_equiv_pos_as_xyz
'x,y,z'
'-x,-y,z'
'-x,y,z'
'x,-y,z'
'x+1/2,y+1/2,z'
'-x+1/2,-y+1/2,z'
'-x+1/2,y+1/2,z'
'x+1/2,-y+1/2,z'
loop_
_atom_site_label
_atom_site_type_symbol
_atom_site_fract_x
_atom_site_fract_y
_atom_site_fract_z
Mg1 Mg 0.000 0.000 0.000
Mg2 Mg 0.000 0.500 0.288
As1 As 0.000 0.500 0.734
Os1 Os 0.000 0.000 0.529
```


No. 3
Compound: La6PmTm
Source: the Alexandria database
Functional: PBE-GGA
Structure: relaxed

## Properties
VASP energy, eV per cell: -38.7

Cell and atoms, written as CIF:
```
data_La6PmTm
_cell_length_a 5.211
_cell_length_b 5.211
_cell_length_c 10.433
_cell_angle_alpha 90.00
_cell_angle_beta 90.00
_cell_angle_gamma 90.00
_symmetry_space_group_name_H-M 'P 4/m m m'
_symmetry_Int_Tables_number 123
_symmetry_space_group_name_Hall '-P 4 2'
loop_
_atom_site_label
_atom_site_type_symbol
_atom_site_fract_x
_atom_site_fract_y
_atom_site_fract_z
La1 La 0.000 0.000 0.000
La2 La 0.000 0.000 0.500
La3 La 0.000 0.500 0.248
Pm1 Pm 0.500 0.500 0.500
Tm1 Tm 0.500 0.500 0.000
```